1.
A plane-wave DFT calculation with PBE-GGA was carried out for a relaxed Tb2Zn12Cu3Au crystal.

Cell: 7.970 7.970 7.970 Å, 62.09 62.09 62.09°
Atoms (fractional coordinates):
Tb: 0.608 0.608 0.608
Tb: 0.392 0.392 0.392
Zn: 0.352 0.352 0.880
Zn: 0.868 0.868 0.389
Zn: 0.389 0.868 0.868
Zn: 0.880 0.352 0.352
Zn: 0.868 0.389 0.868
Zn: 0.352 0.880 0.352
Zn: 0.648 0.648 0.120
Zn: 0.132 0.132 0.611
Zn: 0.611 0.132 0.132
Zn: 0.120 0.648 0.648
Zn: 0.132 0.611 0.132
Zn: 0.648 0.120 0.648
Cu: 0.500 0.000 0.000
Cu: 0.000 0.500 0.000
Cu: 0.000 0.000 0.500
Au: 0.000 0.000 0.000

The raw total energy comes out at -2.006 eV per atom. The crystal system is trigonal. The formation energy comes out at 0.22 eV per atom.

---

2.
A plane-wave DFT calculation with PBE-GGA was carried out for a relaxed CuReSe2 crystal.

Cell: 8.385 8.385 8.385 Å, 21.64 21.64 21.64°
Atoms (fractional coordinates):
Re: 0.000 0.000 0.000
Cu: 0.500 0.500 0.500
Se: 0.903 0.903 0.903
Se: 0.097 0.097 0.097

The raw total energy comes out at -5.305 eV per atom. The value obtained for the formation energy without anion corrections is 2.29 eV per formula unit. The crystal system is trigonal.

---

Which value of raw total energy does entry 2 give? -5.305 eV per atom

---

What is the formula in the first record? Tb2Zn12Cu3Au

---

raw total energy of number 1 (Tb2Zn12Cu3Au)? -2.006 eV per atom

---

Among the records above, which one has the lowest raw total energy? CuReSe2